(1)
Here is crystalline Y2ReRu at its relaxed geometry from the Alexandria database. Energies are from PBE.

a = 3.0931 Å, b = 4.4239 Å, c = 5.9365 Å
α = 90.00°, β = 99.45°, γ = 90.00°
Sites, in units of the cell vectors:
Y 0.2308 0.0000 0.2522
Y 0.7692 0.0000 0.7478
Re 0.5000 0.5000 0.0000
Ru 0.0000 0.5000 0.5000

N(E_F)   0.871 states/eV per atom
Excess energy over the best structure of this formula in the dataset   0.366 eV/atom

(2)
Here is crystalline ZnCoAs2S at its relaxed geometry from the Alexandria database. Energies are from PBE.

a = 4.7459 Å, b = 4.7459 Å, c = 4.5982 Å
α = 90.00°, β = 90.00°, γ = 90.00°
Sites, in units of the cell vectors:
Zn 0.0000 0.0000 0.0000
Co 0.0000 0.0000 0.5000
As 0.0000 0.5000 0.0000
As 0.5000 0.0000 0.0000
S 0.5000 0.5000 0.5000

N(E_F)   0.878 states/eV per atom
Calculated total energy   -16.36 eV/cell

(3)
Here is crystalline DyEr2Te4 at its relaxed geometry from the Alexandria database. Energies are from PBE.

a = 8.3755 Å, b = 8.3755 Å, c = 7.5212 Å
α = 116.32°, β = 116.32°, γ = 29.90°
Sites, in units of the cell vectors:
Dy 0.0000 0.0000 0.0000
Er 0.2554 0.2554 0.2702
Er 0.7446 0.7446 0.7298
Te 0.1211 0.1211 0.4545
Te 0.3700 0.3700 0.0336
Te 0.6300 0.6300 0.9664
Te 0.8789 0.8789 0.5455

N(E_F)   0.455 states/eV per atom
Excess energy over the best structure of this formula in the dataset   0.000 eV/atom

(4)
Here is crystalline KSn2Pb10 at its relaxed geometry from the Alexandria database. Energies are from PBE.

a = 11.5403 Å, b = 8.8027 Å, c = 8.7620 Å
α = 82.15°, β = 49.08°, γ = 48.77°
Sites, in units of the cell vectors:
K 0.0000 0.0000 0.0000
Sn 0.0000 0.0000 0.5000
Sn 0.5000 0.5000 0.0000
Pb 0.0000 0.5000 0.0000
Pb 0.0041 0.6468 0.3532
Pb 0.2829 0.5032 0.4968
Pb 0.3532 0.9959 0.0041
Pb 0.4968 0.7171 0.2829
Pb 0.5000 0.0000 0.5000
Pb 0.5032 0.2829 0.7171
Pb 0.6468 0.0041 0.9959
Pb 0.7171 0.4968 0.5032
Pb 0.9959 0.3532 0.6468

N(E_F)   0.413 states/eV per atom
Calculated total energy   -46.47 eV/cell

Question: What is the formula in the third record?
Answer: DyEr2Te4